(1)
DFT (PBE) results for crystalline UPa3N6 at its relaxed geometry.

abc: 5.959 5.959 5.959
angles: 60.55 60.55 60.55
Sites, in units of the cell vectors:
N: 0.462 0.753 0.035
N: 0.965 0.533 0.252
N: 0.753 0.035 0.462
N: 0.252 0.965 0.533
N: 0.035 0.462 0.753
N: 0.533 0.252 0.965
Pa: 0.362 0.362 0.362
Pa: 0.638 0.638 0.638
Pa: 0.862 0.862 0.862
U: 0.137 0.137 0.137

Properties
Space-group type: R3, No. 146
Energy in eV per atom: -10.447



(2)
DFT (PBE) results for crystalline PmAsO4 at its relaxed geometry.

abc: 6.800 6.800 6.800
angles: 135.96 135.96 64.05
Sites, in units of the cell vectors:
As: 0.500 0.500 0.000
As: 0.250 0.750 0.500
O: 0.671 0.280 0.109
O: 0.030 0.422 0.109
O: 0.720 0.828 0.391
O: 0.079 0.970 0.391
O: 0.578 0.687 0.609
O: 0.437 0.329 0.609
O: 0.313 0.921 0.891
O: 0.172 0.563 0.891
Pm: 0.000 0.000 0.000
Pm: 0.750 0.250 0.500

Properties
Space-group type: I4_1/a, No. 88
Energy in eV per atom: -7.198



(3)
DFT (PBE) results for crystalline YZnCoTc at its relaxed geometry.

abc: 4.557 4.557 4.557
angles: 60.00 60.00 60.00
Sites, in units of the cell vectors:
Co: 0.750 0.750 0.750
Tc: 0.500 0.500 0.500
Y: 0.250 0.250 0.250
Zn: 0.000 0.000 0.000

Properties
Energy of formation from the pure elements in eV/f.u.: 1.05
Energy above the most stable polymorph in this dataset in meV/atom: 0
Space-group type: F-43m, No. 216
Energy in eV per atom: -6.036



(4)
DFT (PBE) results for crystalline HgTe2 at its relaxed geometry.

abc: 7.006 7.006 9.191
angles: 92.40 92.40 35.53
Sites, in units of the cell vectors:
Hg: 0.000 0.000 0.000
Hg: 0.666 0.666 0.333
Hg: 0.334 0.334 0.667
Te: 0.660 0.660 0.008
Te: 0.007 0.007 0.325
Te: 0.326 0.326 0.342
Te: 0.674 0.674 0.658
Te: 0.993 0.993 0.675
Te: 0.340 0.340 0.992

Properties
Energy above the most stable polymorph in this dataset in meV/atom: 0
Space-group type: C2/m, No. 12
Energy in eV per atom: -2.133



(5)
DFT (PBE) results for crystalline NdHoSi2W2C at its relaxed geometry.

abc: 5.897 5.897 7.212
angles: 123.23 123.23 38.50
Sites, in units of the cell vectors:
C: 0.997 0.997 0.991
Ho: 0.426 0.426 0.705
Nd: 0.577 0.577 0.302
Si: 0.867 0.867 0.336
Si: 0.133 0.133 0.668
W: 0.207 0.207 0.081
W: 0.792 0.792 0.917

Properties
Space-group type: Cm, No. 8
Energy in eV per atom: -8.414



(6)
DFT (PBE) results for crystalline KTmB at its relaxed geometry.

abc: 4.700 4.700 4.700
angles: 60.00 60.00 60.00
Sites, in units of the cell vectors:
B: 0.000 0.000 0.000
K: 0.250 0.250 0.250
Tm: 0.750 0.750 0.750

Properties
Energy above the most stable polymorph in this dataset in meV/atom: 0
Space-group type: F-43m, No. 216
Energy in eV per atom: -3.066